Computed, not measured: a geometry-optimized Cs2CrSF6 structure at the PBE with a Hubbard U level of DFT.

Lattice parameters (Å, degrees): 6.449 6.449 6.456 60.04 60.04 90.00
Last column: magnetic moment on the atom in μB.
Positions (direct):
F (0.785, 0.215, 0.000)  -0.07
F (0.214, 0.214, 0.572)  -0.07
F (0.786, 0.786, 0.428)  -0.07
F (0.215, 0.215, 0.000)  -0.07
F (0.215, 0.785, 0.000)  -0.07
F (0.785, 0.785, 0.000)  -0.07
Cr (0.000, 0.000, 0.000)  2.86
S (0.500, 0.500, 0.000)  -1.61
Cs (0.750, 0.250, 0.500)  0.00
Cs (0.250, 0.750, 0.500)  0.00

Results
Calculated total energy in eV/atom: -4.6154